Entry from Alexandria via LeMat-Bulk: crystalline RbSn2Au at its relaxed geometry (GGA-PBE).

Values from the calculation:
Energy of formation from the pure elements: -109 kJ/mol of formula units
Density: 6.35 Mg/m³
Total moment: 0.0 μB per formula unit
D(E_F): 0.274 states/eV per atom
SG: Pmmn, No. 59

Structure (POSCAR):
```
RbSn2Au
1.0
4.5179 0.0000 0.0000
0.0000 7.9367 0.0000
0.0000 0.0000 7.5858
Rb Sn Au
2 4 2
direct
0.2500 0.2500 0.1150
0.7500 0.7500 0.8850
0.2500 0.0523 0.6544
0.2500 0.4477 0.6544
0.7500 0.5523 0.3456
0.7500 0.9477 0.3456
0.2500 0.7500 0.4510
0.7500 0.2500 0.5490
```